DFT (GGA-PBE) results for a geometry-optimized Hf2TiHgH structure.

Calculated values
Fermi-level density of states ... 1.50 states/eV per cell
DFT total energy ... -32.38 eV per formula unit

Geometry as CIF:
```
data_Hf2TiHgH
_space_group_name_H-M_alt 'P 4/m m m'
_space_group_IT_number 123
_space_group_name_Hall '-P 4 2'
_cell_length_a 4.366
_cell_length_b 4.366
_cell_length_c 4.257
_cell_angle_alpha 90.00
_cell_angle_beta 90.00
_cell_angle_gamma 90.00
loop_
_atom_site_label
_atom_site_type_symbol
_atom_site_fract_x
_atom_site_fract_y
_atom_site_fract_z
Hf1 Hf 0.000 0.500 0.000
Ti1 Ti 0.000 0.000 0.500
Hg1 Hg 0.500 0.500 0.500
H1 H 0.000 0.000 0.000
```



DFT (GGA-PBE) results for a geometry-optimized K3FeI structure.

Calculated values
Fermi-level density of states ... 9.61 states/eV per cell
DFT total energy ... -11.85 eV per formula unit

Geometry as CIF:
```
data_K3FeI
_space_group_name_H-M_alt 'P m -3 m'
_space_group_IT_number 221
_space_group_name_Hall '-P 4 2 3'
_cell_length_a 6.256
_cell_length_b 6.256
_cell_length_c 6.256
_cell_angle_alpha 90.00
_cell_angle_beta 90.00
_cell_angle_gamma 90.00
loop_
_atom_site_label
_atom_site_type_symbol
_atom_site_fract_x
_atom_site_fract_y
_atom_site_fract_z
K1 K 0.000 0.000 0.500
Fe1 Fe 0.000 0.000 0.000
I1 I 0.500 0.500 0.500
```



DFT (GGA-PBE) results for a geometry-optimized ErMnAs3 structure.

Calculated values
Fermi-level density of states ... 9.32 states/eV per cell
DFT total energy ... -31.04 eV per formula unit

Geometry as CIF:
```
data_ErMnAs3
_space_group_name_H-M_alt 'P b c m'
_space_group_IT_number 57
_cell_length_a 11.950
_cell_length_b 5.655
_cell_length_c 5.515
_cell_angle_alpha 90.00
_cell_angle_beta 90.00
_cell_angle_gamma 90.00
loop_
_space_group_symop_operation_xyz
'x,y,z'
'-x,-y,-z'
'-x,-y,z+1/2'
'x,y,-z+1/2'
'x,-y+1/2,-z'
'-x,y+1/2,z'
'-x,y+1/2,-z+1/2'
'x,-y+1/2,z+1/2'
loop_
_atom_site_label
_atom_site_type_symbol
_atom_site_fract_x
_atom_site_fract_y
_atom_site_fract_z
Er1 Er 0.187 0.004 0.250
Mn1 Mn 0.411 0.750 0.000
As1 As 0.002 0.750 0.000
As2 As 0.278 0.501 0.250
As3 As 0.431 0.110 0.250
```



Question: The lowest DFT total energy belongs to which entry?
Answer: Hf2TiHgH